First-principles (GGA-PBE) data for an optimized crystal structure of K2WIBr, as listed in Alexandria.

VASP energy in eV/cell: -16.111
ρ in Mg/m³: 3.302

a b c (Å): 6.820 6.820 5.069
angles (deg): 90.00 90.00 90.00
Space group P4/mmm (No. 123)
Unique sites:
K 0.000 0.500 0.000 (multiplicity 2)
W 0.000 0.000 0.500 (multiplicity 1)
I 0.000 0.000 0.000 (multiplicity 1)
Br 0.500 0.500 0.500 (multiplicity 1)

---

First-principles (GGA-PBE) data for an optimized crystal structure of KYIBr2, as listed in Alexandria.

VASP energy in eV/cell: -19.513
ρ in Mg/m³: 3.552

a b c (Å): 5.639 5.639 6.096
angles (deg): 90.00 90.00 90.00
Space group P4/mmm (No. 123)
Unique sites:
K 0.000 0.000 0.000 (multiplicity 1)
Y 0.500 0.500 0.500 (multiplicity 1)
I 0.500 0.500 0.000 (multiplicity 1)
Br 0.000 0.500 0.500 (multiplicity 2)

---

First-principles (GGA-PBE) data for an optimized crystal structure of KZnI2Br, as listed in Alexandria.

VASP energy in eV/cell: -11.519
ρ in Mg/m³: 4.155

a b c (Å): 5.777 5.777 5.248
angles (deg): 90.00 90.00 90.00
Space group P4/mmm (No. 123)
Unique sites:
K 0.000 0.000 0.000 (multiplicity 1)
Zn 0.500 0.500 0.500 (multiplicity 1)
I 0.000 0.500 0.500 (multiplicity 2)
Br 0.500 0.500 0.000 (multiplicity 1)

---

First-principles (GGA-PBE) data for an optimized crystal structure of KZnIBr2, as listed in Alexandria.

Energy relative to the lowest polymorph listed for this composition in meV/atom: 134.0
ρ in Mg/m³: 4.028

a b c (Å): 5.297 5.297 5.749
angles (deg): 90.00 90.00 90.00
Space group P4/mmm (No. 123)
Unique sites:
K 0.000 0.000 0.000 (multiplicity 1)
Zn 0.500 0.500 0.500 (multiplicity 1)
I 0.500 0.500 0.000 (multiplicity 1)
Br 0.000 0.500 0.500 (multiplicity 2)

---

First-principles (GGA-PBE) data for an optimized crystal structure of KZnIBr2, as listed in Alexandria.

Energy relative to the lowest polymorph listed for this composition in meV/atom: 0.0
ρ in Mg/m³: 3.241

a b c (Å): 7.953 6.160 8.390
angles (deg): 90.00 102.73 90.00
Space group P2_1/m (No. 11)
Unique sites:
K 0.222 0.250 0.337 (multiplicity 2)
Zn 0.419 0.250 0.844 (multiplicity 2)
I 0.091 0.250 0.736 (multiplicity 2)
Br 0.405 0.750 0.353 (multiplicity 2)
Br 0.448 0.750 0.870 (multiplicity 2)

---

First-principles (GGA-PBE) data for an optimized crystal structure of K2ZrI2Br4, as listed in Alexandria.

VASP energy in eV/cell: -67.085
ρ in Mg/m³: 3.473

a b c (Å): 13.662 7.758 7.956
angles (deg): 90.00 122.60 90.00
Space group C2/m (No. 12)
Unique sites:
K 0.246 0.000 0.205 (multiplicity 4)
Zr 0.000 0.500 0.000 (multiplicity 2)
I 0.241 0.500 0.331 (multiplicity 4)
Br 0.049 0.259 0.820 (multiplicity 8)

---

First-principles (GGA-PBE) data for an optimized crystal structure of LaIBr, as listed in Alexandria.

Energy relative to the lowest polymorph listed for this composition in meV/atom: 45.6
ρ in Mg/m³: 4.738

a b c (Å): 4.2262 4.2262 7.8339
angles (deg): 90.00 90.00 120.00
Space group P3m1 (No. 156)
Unique sites:
La 0.0000 0.0000 0.0000 (multiplicity 1)
I 0.3333 0.6667 0.7300 (multiplicity 1)
Br 0.6667 0.3333 0.2373 (multiplicity 1)

---

First-principles (GGA-PBE) data for an optimized crystal structure of La2I5Br, as listed in Alexandria.

VASP energy in eV/cell: -59.646
ρ in Mg/m³: 5.052

a b c (Å): 5.357 9.825 12.392
angles (deg): 90.00 90.00 90.00
Space group Immm (No. 71)
Unique sites:
La 0.000 0.000 0.250 (multiplicity 4)
I 0.000 0.000 0.000 (multiplicity 2)
I 0.000 0.315 0.335 (multiplicity 8)
Br 0.000 0.500 0.000 (multiplicity 2)

---

First-principles (GGA-PBE) data for an optimized crystal structure of LaIBr, as listed in Alexandria.

Energy relative to the lowest polymorph listed for this composition in meV/atom: 80.0
ρ in Mg/m³: 5.629

a b c (Å): 6.402 7.866 8.661
angles (deg): 90.00 110.71 90.00
Space group P2_1/c (No. 14)
Unique sites:
La 0.160 0.199 0.036 (multiplicity 4)
I 0.422 0.696 0.615 (multiplicity 4)
Br 0.013 0.002 0.287 (multiplicity 4)

---

First-principles (GGA-PBE) data for an optimized crystal structure of La2I2Br, as listed in Alexandria.

Energy relative to the lowest polymorph listed for this composition in meV/atom: 155.1
ρ in Mg/m³: 6.198

a b c (Å): 8.847 8.847 4.187
angles (deg): 90.00 90.00 90.00
Space group P4/mbm (No. 127)
Unique sites:
La 0.155 0.345 0.000 (multiplicity 4)
I 0.143 0.643 0.500 (multiplicity 4)
Br 0.000 0.000 0.000 (multiplicity 2)

---

First-principles (GGA-PBE) data for an optimized crystal structure of LaIBr, as listed in Alexandria.

Energy relative to the lowest polymorph listed for this composition in meV/atom: 232.3
ρ in Mg/m³: 5.228

a b c (Å): 7.601 7.601 7.601
angles (deg): 90.00 90.00 90.00
Space group F-43m (No. 216)
Unique sites:
La 0.000 0.000 0.000 (multiplicity 4)
I 0.250 0.250 0.750 (multiplicity 4)
Br 0.250 0.250 0.250 (multiplicity 4)

---

First-principles (GGA-PBE) data for an optimized crystal structure of La7IBr12, as listed in Alexandria.

VASP energy in eV/cell: -269.618
ρ in Mg/m³: 4.737

a b c (Å): 15.6373 15.6373 10.2217
angles (deg): 90.00 90.00 120.00
Space group R-3 (No. 148, hexagonal axes)
Unique sites:
La 0.0000 0.0000 0.0000 (multiplicity 3)
La 0.0450 0.8756 0.3207 (multiplicity 18)
I 0.0000 0.0000 0.5000 (multiplicity 3)
Br 0.0303 0.4428 0.1624 (multiplicity 18)
Br 0.0500 0.8611 0.8487 (multiplicity 18)